# 1
! Pm2Nd2YEr, optimized geometry, DFT PBE-GGA; values from VASP
&SYSTEM
  ibrav = 0, nat = 12, ntyp = 4
/
ATOMIC_SPECIES
Er 167.26 Er.upf
Y 88.91 Y.upf
Nd 144.24 Nd.upf
Pm 145.00 Pm.upf
CELL_PARAMETERS angstrom
-2.157 3.052 4.319
-3.126 -5.841 2.567
8.075 -1.945 5.408
ATOMIC_POSITIONS crystal
Er 0.500 0.258 0.660
Er 0.500 0.758 0.340
Y 0.000 0.008 0.500
Y 0.000 0.508 0.500
Nd 0.500 0.508 0.000
Nd 0.000 0.257 0.176
Nd 0.000 0.757 0.824
Nd 0.500 0.008 0.000
Pm 0.000 0.257 0.838
Pm 0.500 0.258 0.330
Pm 0.000 0.757 0.162
Pm 0.500 0.758 0.670
! Total moment: 0.000 μB per cell
! Space group: Pmma (51)
! Crystal system: orthorhombic

=====

# 2
! PmNd2YEr, optimized geometry, DFT PBE-GGA; values from VASP
&SYSTEM
  ibrav = 0, nat = 10, ntyp = 4
/
ATOMIC_SPECIES
Nd 144.24 Nd.upf
Er 167.26 Er.upf
Y 88.91 Y.upf
Pm 145.00 Pm.upf
CELL_PARAMETERS angstrom
7.305 0.000 0.000
0.000 8.464 0.000
0.000 -4.232 5.835
ATOMIC_POSITIONS crystal
Nd 0.000 0.691 0.000
Nd 0.500 0.691 0.000
Nd 0.500 0.309 0.000
Nd 0.000 0.309 0.000
Er 0.750 0.732 0.464
Er 0.250 0.268 0.536
Y 0.250 0.990 0.981
Y 0.750 0.010 0.019
Pm 0.250 0.724 0.447
Pm 0.750 0.276 0.553
! Total moment: 0.009 μB per cell
! Space group: Cmcm (63)
! Crystal system: orthorhombic

=====

# 3
! Pm6Nd3YEr2, optimized geometry, DFT PBE-GGA; values from VASP
&SYSTEM
  ibrav = 0, nat = 12, ntyp = 4
/
ATOMIC_SPECIES
Pm 145.00 Pm.upf
Er 167.26 Er.upf
Nd 144.24 Nd.upf
Y 88.91 Y.upf
CELL_PARAMETERS angstrom
-1.231 -5.693 2.392
4.200 3.756 2.811
-9.586 5.293 4.901
ATOMIC_POSITIONS crystal
Pm 0.918 0.583 0.754
Pm 0.082 0.417 0.246
Pm 0.252 0.252 0.754
Pm 0.748 0.748 0.246
Pm 0.583 0.918 0.754
Pm 0.417 0.082 0.246
Er 0.667 0.333 0.000
Er 0.333 0.667 0.000
Nd 0.500 0.500 0.500
Nd 0.833 0.167 0.500
Nd 0.167 0.833 0.500
Y 0.000 0.000 0.000
! Total moment: 0.000 μB per cell
! Space group: C2/m (12)
! Crystal system: monoclinic

=====

# 4
! Pm3Nd6Y2Er, optimized geometry, DFT PBE-GGA; values from VASP
&SYSTEM
  ibrav = 0, nat = 12, ntyp = 4
/
ATOMIC_SPECIES
Nd 144.24 Nd.upf
Pm 145.00 Pm.upf
Er 167.26 Er.upf
Y 88.91 Y.upf
CELL_PARAMETERS angstrom
6.323 -0.002 0.010
-3.162 5.476 0.010
-1.071 -1.855 11.813
ATOMIC_POSITIONS crystal
Nd 0.917 0.585 0.753
Nd 0.415 0.083 0.247
Nd 0.250 0.250 0.753
Nd 0.083 0.415 0.247
Nd 0.750 0.750 0.247
Nd 0.585 0.917 0.753
Pm 0.833 0.167 0.500
Pm 0.167 0.833 0.500
Pm 0.500 0.500 0.500
Er 0.000 0.000 0.000
Y 0.667 0.333 0.000
Y 0.333 0.667 0.000
! Total moment: 0.000 μB per cell
! Space group: C2/m (12)
! Crystal system: monoclinic

=====

# 5
! PmNd2Y2Er2, optimized geometry, DFT PBE-GGA; values from VASP
&SYSTEM
  ibrav = 0, nat = 7, ntyp = 4
/
ATOMIC_SPECIES
Nd 144.24 Nd.upf
Y 88.91 Y.upf
Pm 145.00 Pm.upf
Er 167.26 Er.upf
CELL_PARAMETERS angstrom
-0.493 0.929 3.372
6.074 -0.606 -0.796
4.455 10.760 -2.315
ATOMIC_POSITIONS crystal
Nd 0.328 0.656 0.085
Nd 0.672 0.344 0.915
Y 0.549 0.097 0.229
Y 0.451 0.903 0.771
Pm 0.000 0.000 0.500
Er 0.227 0.454 0.636
Er 0.773 0.546 0.364
! Total moment: 0.000 μB per cell
! Space group: C2/m (12)
! Crystal system: monoclinic

=====

# 6
! Pm3Nd2YEr6, optimized geometry, DFT PBE-GGA; values from VASP
&SYSTEM
  ibrav = 0, nat = 12, ntyp = 4
/
ATOMIC_SPECIES
Er 167.26 Er.upf
Pm 145.00 Pm.upf
Y 88.91 Y.upf
Nd 144.24 Nd.upf
CELL_PARAMETERS angstrom
6.206 0.000 0.005
-3.102 5.376 0.005
-1.040 -1.801 11.594
ATOMIC_POSITIONS crystal
Er 0.417 0.084 0.250
Er 0.916 0.583 0.750
Er 0.750 0.750 0.250
Er 0.084 0.417 0.250
Er 0.250 0.250 0.750
Er 0.583 0.916 0.750
Pm 0.500 0.500 0.500
Pm 0.833 0.167 0.500
Pm 0.167 0.833 0.500
Y 0.000 0.000 0.000
Nd 0.334 0.666 0.000
Nd 0.666 0.334 0.000
! Total moment: 0.000 μB per cell
! Space group: C2/m (12)
! Crystal system: monoclinic

=====

# 7
! Pm2NdY6Er2, optimized geometry, DFT PBE-GGA; values from VASP
&SYSTEM
  ibrav = 0, nat = 11, ntyp = 4
/
ATOMIC_SPECIES
Er 167.26 Er.upf
Nd 144.24 Nd.upf
Y 88.91 Y.upf
Pm 145.00 Pm.upf
CELL_PARAMETERS angstrom
-2.394 -5.610 2.690
6.230 2.372 0.019
-5.837 8.448 6.401
ATOMIC_POSITIONS crystal
Er 0.702 0.298 0.500
Er 0.298 0.702 0.500
Nd 0.000 0.000 0.500
Y 0.136 0.444 0.789
Y 0.444 0.136 0.789
Y 0.288 0.288 0.290
Y 0.864 0.556 0.211
Y 0.556 0.864 0.211
Y 0.712 0.712 0.710
Pm 0.135 0.865 0.000
Pm 0.865 0.135 0.000
! Total moment: 0.000 μB per cell
! Space group: C2/m (12)
! Crystal system: monoclinic

=====

# 8
! Pm6NdY3Er2, optimized geometry, DFT PBE-GGA; values from VASP
&SYSTEM
  ibrav = 0, nat = 12, ntyp = 4
/
ATOMIC_SPECIES
Pm 145.00 Pm.upf
Er 167.26 Er.upf
Y 88.91 Y.upf
Nd 144.24 Nd.upf
CELL_PARAMETERS angstrom
-3.035 5.468 0.313
-2.912 -5.294 1.645
5.652 1.351 10.388
ATOMIC_POSITIONS crystal
Pm 0.750 0.750 0.250
Pm 0.418 0.084 0.250
Pm 0.916 0.582 0.750
Pm 0.250 0.250 0.750
Pm 0.084 0.418 0.250
Pm 0.582 0.916 0.750
Er 0.333 0.667 0.000
Er 0.667 0.333 0.000
Y 0.833 0.167 0.500
Y 0.500 0.500 0.500
Y 0.167 0.833 0.500
Nd 0.000 0.000 0.000
! Total moment: 0.000 μB per cell
! Space group: C2/m (12)
! Crystal system: monoclinic

=====

# 9
! Pm2NdY2Er, optimized geometry, DFT PBE-GGA; values from VASP
&SYSTEM
  ibrav = 0, nat = 12, ntyp = 4
/
ATOMIC_SPECIES
Y 88.91 Y.upf
Pm 145.00 Pm.upf
Nd 144.24 Nd.upf
Er 167.26 Er.upf
CELL_PARAMETERS angstrom
-2.965 -1.332 -1.484
1.019 -5.376 2.789
-9.814 5.671 14.515
ATOMIC_POSITIONS crystal
Y 0.000 0.337 0.159
Y 0.500 0.837 0.341
Y 0.000 0.663 0.841
Y 0.500 0.163 0.659
Pm 0.000 0.335 0.345
Pm 0.500 0.165 0.845
Pm 0.000 0.665 0.655
Pm 0.500 0.835 0.155
Nd 0.000 0.000 0.500
Nd 0.500 0.500 0.000
Er 0.500 0.500 0.500
Er 0.000 0.000 0.000
! Total moment: 0.000 μB per cell
! Space group: Pnnm (58)
! Crystal system: orthorhombic

=====

# 10
! PmNdY2Er5, optimized geometry, DFT PBE-GGA; values from VASP
&SYSTEM
  ibrav = 0, nat = 18, ntyp = 4
/
ATOMIC_SPECIES
Er 167.26 Er.upf
Pm 145.00 Pm.upf
Y 88.91 Y.upf
Nd 144.24 Nd.upf
CELL_PARAMETERS angstrom
-0.119 8.773 0.178
-6.235 0.041 -6.175
-2.127 -4.587 8.353
ATOMIC_POSITIONS crystal
Er 0.930 0.430 0.271
Er 0.340 0.840 0.271
Er 0.430 0.340 0.271
Er 0.000 0.000 0.000
Er 0.840 0.930 0.271
Er 0.500 0.500 0.000
Er 0.570 0.660 0.729
Er 0.160 0.070 0.729
Er 0.660 0.160 0.729
Er 0.070 0.570 0.729
Pm 0.750 0.750 0.500
Pm 0.250 0.250 0.500
Y 0.884 0.616 0.000
Y 0.384 0.884 0.000
Y 0.616 0.116 0.000
Y 0.116 0.384 0.000
Nd 0.250 0.750 0.500
Nd 0.750 0.250 0.500
! Total moment: 0.000 μB per cell
! Space group: I4/mcm (140)
! Crystal system: tetragonal

=====

# 11
! Pm3NdYEr, optimized geometry, DFT PBE-GGA; values from VASP
&SYSTEM
  ibrav = 0, nat = 12, ntyp = 4
/
ATOMIC_SPECIES
Y 88.91 Y.upf
Nd 144.24 Nd.upf
Pm 145.00 Pm.upf
Er 167.26 Er.upf
CELL_PARAMETERS angstrom
-4.620 -2.091 0.794
2.931 -7.249 -2.034
0.594 2.670 10.491
ATOMIC_POSITIONS crystal
Y 0.750 0.374 0.874
Y 0.250 0.626 0.126
Nd 0.750 0.876 0.707
Nd 0.250 0.124 0.293
Pm 0.750 0.874 0.042
Pm 0.750 0.377 0.209
Pm 0.250 0.628 0.458
Pm 0.250 0.623 0.791
Pm 0.250 0.126 0.958
Pm 0.750 0.372 0.542
Er 0.250 0.124 0.624
Er 0.750 0.876 0.376
! Total moment: 0.001 μB per cell
! Space group: P2_1/m (11)
! Crystal system: monoclinic

=====

# 12
! Pm2Nd3Y6Er, optimized geometry, DFT PBE-GGA; values from VASP
&SYSTEM
  ibrav = 0, nat = 12, ntyp = 4
/
ATOMIC_SPECIES
Y 88.91 Y.upf
Nd 144.24 Nd.upf
Er 167.26 Er.upf
Pm 145.00 Pm.upf
CELL_PARAMETERS angstrom
6.254 0.000 0.004
-3.125 5.417 0.004
-1.046 -1.811 11.705
ATOMIC_POSITIONS crystal
Y 0.416 0.083 0.248
Y 0.750 0.750 0.249
Y 0.584 0.917 0.752
Y 0.250 0.250 0.751
Y 0.083 0.416 0.248
Y 0.917 0.584 0.752
Nd 0.833 0.167 0.500
Nd 0.167 0.833 0.500
Nd 0.500 0.500 0.500
Er 0.000 0.000 0.000
Pm 0.666 0.334 0.000
Pm 0.334 0.666 0.000
! Total moment: 0.000 μB per cell
! Space group: C2/m (12)
! Crystal system: monoclinic

=====

# 13
! PmNdYEr2, optimized geometry, DFT PBE-GGA; values from VASP
&SYSTEM
  ibrav = 0, nat = 10, ntyp = 4
/
ATOMIC_SPECIES
Y 88.91 Y.upf
Er 167.26 Er.upf
Pm 145.00 Pm.upf
Nd 144.24 Nd.upf
CELL_PARAMETERS angstrom
7.189 0.000 0.000
0.000 8.387 0.000
0.000 -4.194 5.778
ATOMIC_POSITIONS crystal
Y 0.750 0.727 0.455
Y 0.250 0.273 0.545
Er 0.500 0.313 0.000
Er 0.000 0.313 0.000
Er 0.500 0.687 0.000
Er 0.000 0.687 0.000
Pm 0.750 0.011 0.022
Pm 0.250 0.989 0.978
Nd 0.750 0.278 0.556
Nd 0.250 0.722 0.444
! Total moment: 0.000 μB per cell
! Space group: Cmcm (63)
! Crystal system: orthorhombic

=====

# 14
! PmNd4Y2Er2, optimized geometry, DFT PBE-GGA; values from VASP
&SYSTEM
  ibrav = 0, nat = 9, ntyp = 4
/
ATOMIC_SPECIES
Nd 144.24 Nd.upf
Pm 145.00 Pm.upf
Er 167.26 Er.upf
Y 88.91 Y.upf
CELL_PARAMETERS angstrom
-1.589 -4.791 0.757
7.273 0.849 3.436
-5.487 2.657 5.298
ATOMIC_POSITIONS crystal
Nd 0.555 0.109 0.330
Nd 0.223 0.445 0.331
Nd 0.777 0.555 0.669
Nd 0.445 0.891 0.670
Pm 0.000 0.000 0.000
Er 0.332 0.664 0.000
Er 0.668 0.336 0.000
Y 0.112 0.223 0.669
Y 0.888 0.777 0.331
! Total moment: 0.000 μB per cell
! Space group: C2/m (12)
! Crystal system: monoclinic

=====

# 15
! PmNdYEr, optimized geometry, DFT PBE-GGA; values from VASP
&SYSTEM
  ibrav = 0, nat = 4, ntyp = 4
/
ATOMIC_SPECIES
Nd 144.24 Nd.upf
Y 88.91 Y.upf
Pm 145.00 Pm.upf
Er 167.26 Er.upf
CELL_PARAMETERS angstrom
5.108 0.000 0.000
0.000 5.108 0.001
-2.554 -2.553 5.073
ATOMIC_POSITIONS crystal
Nd 0.696 0.196 0.391
Y 0.446 0.446 0.891
Pm 0.945 0.945 0.891
Er 0.195 0.695 0.391
! Total moment: 0.002 μB per cell
! Energy above the lowest structure with this stoichiometry: 0 meV/atom
! Space group: I-4m2 (119)
! Crystal system: tetragonal

=====

# 16
! Pm2NdY2Er2, optimized geometry, DFT PBE-GGA; values from VASP
&SYSTEM
  ibrav = 0, nat = 7, ntyp = 4
/
ATOMIC_SPECIES
Y 88.91 Y.upf
Er 167.26 Er.upf
Pm 145.00 Pm.upf
Nd 144.24 Nd.upf
CELL_PARAMETERS angstrom
-2.800 -2.135 -0.269
1.149 0.657 6.003
-6.989 8.652 4.089
ATOMIC_POSITIONS crystal
Y 0.549 0.098 0.227
Y 0.451 0.902 0.773
Er 0.227 0.453 0.637
Er 0.773 0.547 0.363
Pm 0.328 0.655 0.084
Pm 0.672 0.345 0.916
Nd 0.000 0.000 0.500
! Total moment: 0.000 μB per cell
! Space group: C2/m (12)
! Crystal system: monoclinic

=====

# 17
! Pm2Nd6YEr, optimized geometry, DFT PBE-GGA; values from VASP
&SYSTEM
  ibrav = 0, nat = 20, ntyp = 4
/
ATOMIC_SPECIES
Nd 144.24 Nd.upf
Er 167.26 Er.upf
Pm 145.00 Pm.upf
Y 88.91 Y.upf
CELL_PARAMETERS angstrom
9.297 -2.089 -2.168
0.813 8.737 -2.100
0.813 -2.422 8.653
ATOMIC_POSITIONS crystal
Nd 0.446 0.242 0.876
Nd 0.310 0.986 0.430
Nd 0.690 0.014 0.570
Nd 0.118 0.710 0.498
Nd 0.054 0.124 0.758
Nd 0.382 0.502 0.290
Nd 0.882 0.290 0.502
Nd 0.554 0.758 0.124
Nd 0.810 0.430 0.986
Nd 0.190 0.570 0.014
Nd 0.618 0.498 0.710
Nd 0.946 0.876 0.242
Er 0.250 0.410 0.590
Er 0.750 0.590 0.410
Pm 0.543 0.198 0.301
Pm 0.043 0.301 0.198
Pm 0.457 0.802 0.699
Pm 0.957 0.699 0.802
Y 0.750 0.023 0.977
Y 0.250 0.977 0.023
! Total moment: 0.001 μB per cell
! Space group: C2/c (15)
! Crystal system: monoclinic

=====

# 18
! Pm3NdY6Er2, optimized geometry, DFT PBE-GGA; values from VASP
&SYSTEM
  ibrav = 0, nat = 12, ntyp = 4
/
ATOMIC_SPECIES
Nd 144.24 Nd.upf
Er 167.26 Er.upf
Pm 145.00 Pm.upf
Y 88.91 Y.upf
CELL_PARAMETERS angstrom
-0.185 -0.495 -6.196
-1.238 -4.953 3.550
-10.848 4.712 0.983
ATOMIC_POSITIONS crystal
Nd 0.000 0.000 0.000
Er 0.333 0.667 0.000
Er 0.667 0.333 0.000
Pm 0.500 0.500 0.500
Pm 0.833 0.167 0.500
Pm 0.167 0.833 0.500
Y 0.917 0.583 0.752
Y 0.417 0.083 0.248
Y 0.083 0.417 0.248
Y 0.251 0.251 0.752
Y 0.583 0.917 0.752
Y 0.749 0.749 0.248
! Total moment: 0.000 μB per cell
! Space group: C2/m (12)
! Crystal system: monoclinic

=====

# 19
! PmNdY5Er2, optimized geometry, DFT PBE-GGA; values from VASP
&SYSTEM
  ibrav = 0, nat = 18, ntyp = 4
/
ATOMIC_SPECIES
Er 167.26 Er.upf
Y 88.91 Y.upf
Nd 144.24 Nd.upf
Pm 145.00 Pm.upf
CELL_PARAMETERS angstrom
5.653 0.000 0.000
-2.827 10.067 0.000
0.000 0.000 10.508
ATOMIC_POSITIONS crystal
Er 0.887 0.774 0.821
Er 0.113 0.226 0.321
Er 0.888 0.776 0.234
Er 0.112 0.224 0.734
Y 0.722 0.443 0.818
Y 0.984 0.967 0.523
Y 0.387 0.775 0.025
Y 0.701 0.402 0.207
Y 0.477 0.954 0.736
Y 0.278 0.557 0.318
Y 0.523 0.046 0.236
Y 0.613 0.225 0.525
Y 0.016 0.033 0.023
Y 0.299 0.598 0.707
Nd 0.415 0.831 0.445
Nd 0.585 0.169 0.945
Pm 0.803 0.605 0.515
Pm 0.197 0.395 0.015
! Total moment: 0.000 μB per cell
! Space group: Cmc2_1 (36)
! Crystal system: orthorhombic

=====

# 20
! PmNd6Y3Er2, optimized geometry, DFT PBE-GGA; values from VASP
&SYSTEM
  ibrav = 0, nat = 12, ntyp = 4
/
ATOMIC_SPECIES
Er 167.26 Er.upf
Nd 144.24 Nd.upf
Y 88.91 Y.upf
Pm 145.00 Pm.upf
CELL_PARAMETERS angstrom
-1.749 2.289 5.592
-4.341 -2.130 -4.024
2.949 -10.763 4.151
ATOMIC_POSITIONS crystal
Er 0.333 0.667 0.000
Er 0.667 0.333 0.000
Nd 0.917 0.582 0.751
Nd 0.250 0.250 0.751
Nd 0.083 0.418 0.249
Nd 0.418 0.083 0.249
Nd 0.582 0.917 0.751
Nd 0.750 0.750 0.249
Y 0.167 0.833 0.500
Y 0.833 0.167 0.500
Y 0.500 0.500 0.500
Pm 0.000 0.000 0.000
! Total moment: 0.000 μB per cell
! Space group: C2/m (12)
! Crystal system: monoclinic

=====

For reference, total energy by record: -4.956, -4.650, -4.851, -5.017, -5.106, -4.787, -5.501, -5.136, -5.193, -4.739, -4.987, -5.583, -4.645, -5.079, -5.117, -5.101, -4.802, -5.561, -5.503, -5.145 eV/atom.
For reference, energy relative to the elements by record: 0.05, 0.41, 0.02, 0.01, 0.09, 0.02, 0.15, 0.01, 0.10, 0.29, 0.02, 0.01, 0.38, 0.02, 0.02, 0.09, 0.11, 0.02, 0.16, 0.01 eV per atom.